No. 1
Entry from Alexandria via LeMat-Bulk: a geometry-optimized CePmH structure (PBE-GGA).

Results
- Volume: 22.77 A^3/atom
- Space-group type: No. 107
- Mass density: 6.96 Mg/m³
- Relative energy among the computed polymorphs: 80 meV/atom
- DFT total energy: -4.743 eV/atom
- N(E_F): 6.00 states/eV per cell

Lattice parameters (Å, degrees): 3.356 3.356 6.512 104.93 104.93 90.00
Positions (direct):
H 0.219 0.219 0.439
Pm 0.749 0.749 0.498
Ce 0.032 0.032 0.064



No. 2
Entry from Alexandria via LeMat-Bulk: a geometry-optimized HgMo2Os structure (PBE-GGA).

Results
- Volume: 16.37 A^3/atom
- Formation energy: 2.5 eV/f.u.
- Space-group type: No. 10
- Mass density: 14.78 Mg/m³
- DFT total energy: -7.678 eV/atom
- N(E_F): 3.54 states/eV per cell

Lattice parameters (Å, degrees): 2.975 4.746 5.650 55.18 90.00 90.00
Positions (direct):
Mo 0.500 0.500 0.000
Mo 0.000 0.000 0.000
Os 0.500 0.500 0.500
Hg 0.000 0.000 0.500



No. 3
Entry from Alexandria via LeMat-Bulk: a geometry-optimized YAl11Tc structure (PBE-GGA).

Results
- Volume: 17.04 A^3/atom
- Formation energy: -3.1 eV/f.u.
- Space-group type: No. 12
- Mass density: 3.63 Mg/m³
- DFT total energy: -4.703 eV/atom
- N(E_F): 5.12 states/eV per cell

Lattice parameters (Å, degrees): 5.268 7.090 6.876 82.12 67.48 69.03
Positions (direct):
Y 0.000 0.000 0.000
Al 0.000 0.500 0.000
Al 0.019 0.641 0.346
Al 0.000 0.000 0.500
Al 0.500 0.222 0.785
Al 0.285 0.222 0.215
Al 0.635 0.359 0.346
Al 0.715 0.778 0.785
Al 0.365 0.641 0.654
Al 0.500 0.778 0.215
Al 0.981 0.359 0.654
Al 0.500 0.000 0.500
Tc 0.500 0.500 0.000



Which formula does entry 2 have? HgMo2Os